Entry 1:
First-principles (PBE) data for a relaxed structure of YCoPt2, as listed in Alexandria.

Structure (POSCAR):
```
YCoPt2
1.0
9.326 0.022 0.013
8.856 2.924 0.013
8.856 1.435 2.548
Y Co Pt
1 1 2
direct
0.498 0.498 0.498 Y
0.743 0.743 0.743 Co
0.253 0.253 0.253 Pt
0.005 0.005 0.005 Pt
```

**Formation enthalpy at 0 K**: 0.138 eV/atom
**Space-group type**: No. 160
**VASP energy**: -6.27 eV/atom
**Fermi-level density of states**: 6.4 states/eV per cell



Entry 2:
First-principles (PBE) data for a relaxed structure of DyGa2Ir, as listed in Alexandria.

Structure (POSCAR):
```
DyGa2Ir
1.0
-1.735 3.297 4.096
-4.447 -4.761 1.948
5.504 -3.150 4.866
Dy Ir Ga
4 4 8
direct
0.382 0.250 0.048 Dy
0.882 0.750 0.452 Dy
0.118 0.250 0.548 Dy
0.618 0.750 0.952 Dy
0.147 0.750 0.109 Ir
0.353 0.750 0.609 Ir
0.853 0.250 0.891 Ir
0.647 0.250 0.391 Ir
0.386 0.948 0.329 Ga
0.614 0.052 0.671 Ga
0.114 0.948 0.829 Ga
0.614 0.448 0.671 Ga
0.886 0.448 0.171 Ga
0.886 0.052 0.171 Ga
0.386 0.552 0.329 Ga
0.114 0.552 0.829 Ga
```

**Formation enthalpy at 0 K**: -0.716 eV/atom
**Space-group type**: No. 62
**VASP energy**: -5.59 eV/atom
**Fermi-level density of states**: 9.4 states/eV per cell



Entry 3:
First-principles (PBE) data for a relaxed structure of Ti6CN5, as listed in Alexandria.

Structure (POSCAR):
```
Ti6CN5
1.0
5.131 -0.079 -0.967
-2.772 4.319 -0.967
0.102 0.183 5.225
Ti N C
6 5 1
direct
0.589 0.918 0.751 Ti
0.918 0.589 0.751 Ti
0.247 0.247 0.756 Ti
0.082 0.411 0.249 Ti
0.411 0.082 0.249 Ti
0.753 0.753 0.244 Ti
0.667 0.333 0.000 N
0.166 0.834 0.500 N
0.500 0.500 0.500 N
0.834 0.166 0.500 N
0.333 0.667 0.000 N
0.000 0.000 0.000 C
```

**E_form (uncorrected)**: -1.591 eV per atom
**Space-group type**: No. 12
**VASP energy**: -9.78 eV/atom
**Fermi-level density of states**: 4.4 states/eV per cell



Entry 4:
First-principles (PBE) data for a relaxed structure of ZrPSeN2, as listed in Alexandria.

Structure (POSCAR):
```
ZrPSeN2
1.0
3.751 0.000 0.000
0.000 3.751 0.000
0.000 0.000 4.712
Zr P N Se
1 1 2 1
direct
0.500 0.500 0.500 Zr
0.000 0.000 0.000 P
0.500 0.000 0.000 N
0.000 0.500 0.000 N
0.000 0.000 0.500 Se
```

**E_form (uncorrected)**: 0.505 eV per atom
**ΔE to the lowest computed polymorph**: 0.000 eV per atom
**Space-group type**: No. 123
**VASP energy**: -6.31 eV/atom
**Fermi-level density of states**: 3.1 states/eV per cell



Entry 5:
First-principles (PBE) data for a relaxed structure of Cs2PuTl2O6, as listed in Alexandria.

Structure (POSCAR):
```
Cs2PuTl2O6
1.0
6.492 0.405 0.052
-2.857 5.844 0.052
-1.321 -2.270 6.626
O Cs Tl Pu
6 2 2 1
direct
0.850 0.850 0.681 O
0.040 0.309 0.668 O
0.691 0.960 0.332 O
0.960 0.691 0.332 O
0.309 0.040 0.668 O
0.150 0.150 0.319 O
0.808 0.192 0.000 Cs
0.192 0.808 0.000 Cs
0.661 0.339 0.500 Tl
0.339 0.661 0.500 Tl
0.000 0.000 0.500 Pu
```

**E_form (uncorrected)**: -1.608 eV per atom
**Space-group type**: No. 12
**VASP energy**: -6.20 eV/atom



Entry 6:
First-principles (PBE) data for a relaxed structure of Pm2NdIn3Hg6, as listed in Alexandria.

Structure (POSCAR):
```
Pm2NdIn3Hg6
1.0
-2.729 -0.675 3.236
1.312 -4.073 0.257
14.553 5.533 13.428
Hg Pm In Nd
6 2 3 1
direct
0.000 0.000 0.865 Hg
0.000 0.500 0.383 Hg
0.000 0.500 0.617 Hg
0.000 0.000 0.135 Hg
0.500 0.000 0.383 Hg
0.500 0.000 0.617 Hg
0.500 0.500 0.215 Pm
0.500 0.500 0.785 Pm
0.000 0.000 0.277 In
0.000 0.000 0.723 In
0.000 0.000 0.000 In
0.500 0.500 0.500 Nd
```

**Formation enthalpy at 0 K**: -0.087 eV/atom
**Space-group type**: No. 123
**VASP energy**: -2.11 eV/atom
**Fermi-level density of states**: 9.0 states/eV per cell



Entry 7:
First-principles (PBE) data for a relaxed structure of SrSi, as listed in Alexandria.

Structure (POSCAR):
```
SrSi
1.0
-0.784 -2.289 -3.744
1.493 -3.289 1.698
-7.106 -1.868 2.630
Si Sr
2 2
direct
0.000 0.500 0.255 Si
0.000 0.000 0.078 Si
0.500 0.500 0.940 Sr
0.500 0.000 0.393 Sr
```

**E_form (uncorrected)**: -0.308 eV per atom
**Space-group type**: No. 51
**VASP energy**: -3.86 eV/atom
**Fermi-level density of states**: 1.9 states/eV per cell



Entry 8:
First-principles (PBE) data for a relaxed structure of LaTb3Pm2As6, as listed in Alexandria.

Structure (POSCAR):
```
LaTb3Pm2As6
1.0
-0.742 -2.127 6.941
3.101 -4.462 -4.871
5.377 4.865 0.788
As Pm Tb La
6 2 3 1
direct
0.251 0.251 0.742 As
0.749 0.749 0.258 As
0.086 0.423 0.258 As
0.423 0.086 0.258 As
0.914 0.577 0.742 As
0.577 0.914 0.742 As
0.667 0.333 0.000 Pm
0.333 0.667 0.000 Pm
0.834 0.166 0.500 Tb
0.500 0.500 0.500 Tb
0.166 0.834 0.500 Tb
0.000 0.000 0.000 La
```

**Formation enthalpy at 0 K**: -1.536 eV/atom
**Space-group type**: No. 12
**VASP energy**: -6.22 eV/atom
**Fermi-level density of states**: 1.6 states/eV per cell



Entry 9:
First-principles (PBE) data for a relaxed structure of Tb8Nd3Tm3, as listed in Alexandria.

Structure (POSCAR):
```
Tb8Nd3Tm3
1.0
-2.490 -4.892 1.363
-0.227 -5.388 -8.029
6.250 -4.912 5.510
Tb Nd Tm
8 3 3
direct
0.660 0.119 0.560 Tb
0.340 0.881 0.440 Tb
0.158 0.239 0.443 Tb
0.340 0.440 0.881 Tb
0.842 0.557 0.761 Tb
0.660 0.560 0.119 Tb
0.158 0.443 0.239 Tb
0.842 0.761 0.557 Tb
0.500 0.000 0.000 Nd
0.000 0.818 0.182 Nd
0.000 0.182 0.818 Nd
0.204 0.796 0.796 Tm
0.796 0.204 0.204 Tm
0.500 0.500 0.500 Tm
```

**Formation enthalpy at 0 K**: 0.106 eV/atom
**Space-group type**: No. 71
**VASP energy**: -4.52 eV/atom
**Fermi-level density of states**: 21.8 states/eV per cell



Entry 10:
First-principles (PBE) data for a relaxed structure of CsTlNF2, as listed in Alexandria.

Structure (POSCAR):
```
CsTlNF2
1.0
-5.320 -0.409 -1.049
-0.858 -1.804 5.057
-0.675 4.736 1.575
N F Cs Tl
1 2 1 1
direct
0.000 0.000 0.500 N
0.000 0.500 0.000 F
0.500 0.000 0.000 F
0.000 0.000 0.000 Cs
0.500 0.500 0.500 Tl
```

**E_form (uncorrected)**: -0.227 eV per atom
**ΔE to the lowest computed polymorph**: 0.691 eV per atom
**Space-group type**: No. 123
**VASP energy**: -3.28 eV/atom
**Fermi-level density of states**: 1.7 states/eV per cell



Entry 11:
First-principles (PBE) data for a relaxed structure of NaAc2Hg2, as listed in Alexandria.

Structure (POSCAR):
```
NaAc2Hg2
1.0
6.360 0.000 0.000
0.000 8.741 0.000
-3.180 -4.370 6.432
Hg Ac Na
4 4 2
direct
0.416 0.713 0.832 Hg
0.584 0.287 0.168 Hg
0.084 0.880 0.168 Hg
0.916 0.120 0.832 Hg
0.174 0.330 0.348 Ac
0.326 0.982 0.652 Ac
0.674 0.018 0.348 Ac
0.826 0.670 0.652 Ac
0.250 0.500 0.000 Na
0.750 0.500 0.000 Na
```

**Formation enthalpy at 0 K**: -0.238 eV/atom
**ΔE to the lowest computed polymorph**: 0.095 eV per atom
**Space-group type**: No. 72
**VASP energy**: -2.27 eV/atom
**Fermi-level density of states**: 8.1 states/eV per cell



Entry 12:
First-principles (PBE) data for a relaxed structure of Th6FeBi3, as listed in Alexandria.

Structure (POSCAR):
```
Th6FeBi3
1.0
-5.756 -2.747 0.765
4.470 -8.658 2.548
-1.602 5.638 8.191
Th Fe Bi
12 2 6
direct
0.312 0.020 0.980 Th
0.758 0.608 0.099 Th
0.076 0.395 0.232 Th
0.576 0.232 0.395 Th
0.258 0.099 0.608 Th
0.076 0.768 0.605 Th
0.752 0.231 0.769 Th
0.576 0.605 0.768 Th
0.812 0.980 0.020 Th
0.758 0.901 0.392 Th
0.252 0.769 0.231 Th
0.258 0.392 0.901 Th
0.049 0.131 0.869 Fe
0.549 0.869 0.131 Fe
0.517 0.582 0.418 Bi
0.594 0.899 0.699 Bi
0.094 0.101 0.301 Bi
0.017 0.418 0.582 Bi
0.594 0.301 0.101 Bi
0.094 0.699 0.899 Bi
```

**Formation enthalpy at 0 K**: -0.197 eV/atom
**ΔE to the lowest computed polymorph**: 0.021 eV per atom
**Space-group type**: No. 36
**VASP energy**: -6.66 eV/atom
**Fermi-level density of states**: 22.8 states/eV per cell